V2MoW | GGA-PBE | relaxed

Computed properties:
Space-group type: I-42d
Total energy (eV/atom): -9.828
Energy above the most stable polymorph in this dataset (eV/atom): 0.787
Total magnetization (μB/f.u.): 0.00
Energy of formation (eV per atom): 0.677

a b c (Å): 6.876 6.876 5.544
angles (deg): 51.67 51.67 90.00
Fractional coordinates of all 8 atoms:
Mo 0.500 0.500 0.000
Mo 0.250 0.750 0.500
W 0.000 0.000 0.000
W 0.750 0.250 0.500
V 0.621 0.125 0.250
V 0.129 0.625 0.250
V 0.375 0.379 0.750
V 0.875 0.871 0.750